(1)
RuPt | the Alexandria database | PBE | relaxed; crystal system = trigonal; energy of formation from the pure elements = 476 meV per atom; symmetry = R-3m; ρ = 14.9 g/cm3
1.0
4.761 0.003 0.002
2.782 3.864 0.002
2.782 1.426 3.591
Pt Ru
2 2
Direct
0.678 0.678 0.678
0.322 0.322 0.322
0.105 0.105 0.105
0.895 0.895 0.895

***

(2)
Tl2SiSe | the Alexandria database | PBE | relaxed; crystal system = tetragonal; uncorrected formation energy = 0.12 eV/atom; symmetry = I-42d; ρ = 6.7 g/cm3
1.0
-2.110 -4.780 -3.515
5.581 -2.866 0.547
-0.330 -6.827 3.842
Si Tl Se
2 4 2
Direct
0.500 0.500 0.000
0.250 0.750 0.500
0.157 0.625 0.250
0.875 0.843 0.750
0.375 0.407 0.750
0.593 0.125 0.250
0.750 0.250 0.500
0.000 0.000 0.000